DFT (PBE) results for a relaxed Pm3GeTe crystal.

Cell: 7.1879 7.1879 8.4237 Å, 64.74 64.74 60.00°
With the nearest neighbours (Å) after each atom.
Element x y z (fractional)
Te 0.8818 0.8818 0.3545  9 Pm 3.40-3.64
Pm 0.5928 0.0936 0.7208  2 Ge 2.90-2.93
Pm 0.4072 0.4071 0.2792  2 Ge 2.90-2.93
Pm 0.9064 0.4072 0.2792  2 Ge 2.90-2.93
Pm 0.5929 0.5928 0.7208  2 Ge 2.90-2.93
Ge 0.6676 0.6676 0.9973  6 Pm 2.90-2.93
Ge 0.3324 0.3324 0.0027  6 Pm 2.90-2.93
Pm 0.4071 0.9064 0.2792  2 Ge 2.90-2.93
Pm 0.0936 0.5929 0.7208  2 Ge 2.90-2.93
Te 0.1182 0.1182 0.6455  9 Pm 3.40-3.64

Results
calculated total energy	-5.08	eV per atom
volume	328	Å³ per cell